(1)
Entry from Alexandria via LeMat-Bulk: an optimized crystal structure of ScTaBi2B (GGA-PBE).

```
5
Lattice="5.465 0.000 0.000 0.000 4.987 0.000 0.000 0.000 5.465" Properties=species:S:1:pos:R:3 pbc="T T T"
Bi 2.732 0.000 0.000
Ta 0.000 2.494 0.000
Sc 0.000 0.000 0.000
Bi 0.000 0.000 2.732
B 2.732 2.494 2.732
```

## Properties
The crystal system is tetragonal. The calculation puts the formation energy at 1.9040 eV per atom. The value obtained for the raw total energy is -4.621 eV per atom.

***

(2)
Entry from Alexandria via LeMat-Bulk: an optimized crystal structure of Y2ScBiB (GGA-PBE).

```
5
Lattice="5.049 0.000 0.000 0.000 5.049 0.000 0.000 0.000 4.735" Properties=species:S:1:pos:R:3 pbc="T T T"
Sc 0.000 0.000 2.367
Bi 2.524 2.524 2.367
Y 0.000 2.524 0.000
B 0.000 0.000 0.000
Y 2.524 0.000 0.000
```

## Properties
The crystal system is tetragonal. The calculation puts the formation energy at -0.5131 eV per atom. The value obtained for the raw total energy is -6.477 eV per atom.

***

(3)
Entry from Alexandria via LeMat-Bulk: an optimized crystal structure of ZrSc2BiB (GGA-PBE).

```
5
Lattice="4.679 0.000 0.000 0.000 4.679 0.000 0.000 0.000 4.698" Properties=species:S:1:pos:R:3 pbc="T T T"
Sc 2.340 0.000 0.000
Sc 0.000 2.340 0.000
B 0.000 0.000 0.000
Zr 0.000 0.000 2.349
Bi 2.340 2.340 2.349
```

## Properties
The crystal system is tetragonal. The calculation puts the formation energy at -0.4809 eV per atom. The value obtained for the raw total energy is -6.835 eV per atom.

***

(4)
Entry from Alexandria via LeMat-Bulk: an optimized crystal structure of ZrScBi2B (GGA-PBE).

```
5
Lattice="5.167 0.000 0.000 0.000 4.372 0.000 0.000 0.000 5.167" Properties=species:S:1:pos:R:3 pbc="T T T"
Sc 0.000 2.186 0.000
Bi 0.000 0.000 2.584
Bi 2.584 0.000 0.000
Zr 2.584 2.186 2.584
B 0.000 0.000 0.000
```

## Properties
The crystal system is tetragonal. The calculation puts the formation energy at 0.3741 eV per atom. The value obtained for the raw total energy is -5.490 eV per atom.

***

(5)
Entry from Alexandria via LeMat-Bulk: an optimized crystal structure of BiBSe2 (GGA-PBE).

```
16
Lattice="-4.938 5.501 -2.968 -3.958 -5.791 -4.146 -1.868 -4.214 7.668" Properties=species:S:1:pos:R:3 pbc="T T T"
Bi -3.319 0.912 1.894
Se -7.741 -0.236 -4.515
Se -6.153 -4.321 0.232
Se -6.695 0.553 1.392
Bi -3.531 -4.936 2.259
B -3.974 2.514 -1.380
B -7.110 -2.074 -4.665
Se -4.339 -1.667 2.133
Se -5.384 -2.455 -3.774
Bi -6.232 -4.090 3.655
B -6.065 -1.286 1.242
Bi -0.618 0.066 0.498
Se -5.651 2.822 -2.326
Se -3.240 0.681 -1.528
Se -8.563 -2.180 -0.565
B -6.887 -2.488 0.381
```

## Properties
The crystal system is monoclinic. The raw formation energy is -0.09 eV/atom. The value obtained for the raw total energy is -4.475 eV per atom. As for the energy above the most stable polymorph in this dataset: 0.48 kcal/mol of atoms.

***

(6)
Entry from Alexandria via LeMat-Bulk: an optimized crystal structure of BiBSe2 (GGA-PBE).

```
16
Lattice="7.648 0.000 0.000 0.000 9.705 0.000 -4.621 0.000 7.697" Properties=species:S:1:pos:R:3 pbc="T T T"
Bi 6.754 4.852 1.261
Bi 4.443 0.000 5.109
B 3.824 8.864 0.000
B 1.514 4.012 3.849
Se 2.390 6.765 5.228
B 1.514 5.693 3.849
Bi -1.416 0.000 2.588
Se 0.637 6.765 2.469
Se 4.700 7.791 1.379
Se 0.637 2.939 2.469
Se -1.673 1.913 6.318
Se -1.673 7.791 6.318
Bi -3.727 4.852 6.437
Se 4.700 1.913 1.379
Se 2.390 2.939 5.228
B 3.824 0.841 0.000
```

## Properties
The crystal system is monoclinic. The raw formation energy is -0.11 eV/atom. The value obtained for the raw total energy is -4.492 eV per atom. As for the energy above the most stable polymorph in this dataset: 0.09 kcal/mol of atoms.

***

(7)
Entry from Alexandria via LeMat-Bulk: an optimized crystal structure of BiBSe2 (GGA-PBE).

```
4
Lattice="-3.435 -5.639 5.597 -0.692 -4.562 7.323 -3.577 -2.737 7.392" Properties=species:S:1:pos:R:3 pbc="T T T"
Se -6.800 -11.418 17.926
Se -0.905 -1.520 2.386
B -3.852 -6.469 10.156
Bi 0.000 0.000 0.000
```

## Properties
The crystal system is trigonal. The raw formation energy is 0.36 eV/atom. The value obtained for the raw total energy is -4.026 eV per atom. As for the energy above the most stable polymorph in this dataset: 10.84 kcal/mol of atoms.

***

(8)
Entry from Alexandria via LeMat-Bulk: an optimized crystal structure of BiBSe2 (GGA-PBE).

```
4
Lattice="0.000 3.514 3.514 3.514 0.000 3.514 3.514 3.514 0.000" Properties=species:S:1:pos:R:3 pbc="T T T"
B 0.000 0.000 0.000
Se 5.271 5.271 5.271
Bi 3.514 3.514 3.514
Se 1.757 1.757 1.757
```

## Properties
The crystal system is cubic. The raw formation energy is 0.94 eV/atom. The value obtained for the raw total energy is -3.441 eV per atom. As for the energy above the most stable polymorph in this dataset: 24.33 kcal/mol of atoms.

***

(9)
Entry from Alexandria via LeMat-Bulk: an optimized crystal structure of BiBSe2 (GGA-PBE).

```
16
Lattice="4.559 0.000 0.000 0.000 7.843 0.000 -3.269 0.000 13.303" Properties=species:S:1:pos:R:3 pbc="T T T"
Bi -1.957 0.000 10.167
Bi -0.196 3.922 6.859
Se -0.072 5.901 9.529
Se 1.562 1.980 2.877
B 2.453 4.759 1.470
Bi 1.439 0.000 0.207
B 0.818 7.006 8.122
Se 1.600 6.017 6.595
Se -0.072 1.942 9.529
Se 1.600 1.826 6.595
B 2.453 3.084 1.470
B 0.818 0.838 8.122
Se 1.562 5.864 2.877
Bi -0.323 3.922 3.516
Se -0.035 5.748 13.247
Se -0.035 2.095 13.247
```

## Properties
The crystal system is monoclinic. The raw formation energy is -0.09 eV/atom. The value obtained for the raw total energy is -4.471 eV per atom. As for the energy above the most stable polymorph in this dataset: 0.59 kcal/mol of atoms.

***

(10)
Entry from Alexandria via LeMat-Bulk: an optimized crystal structure of BiBSe2 (GGA-PBE).

```
8
Lattice="-4.029 4.730 0.968 -5.715 -2.706 2.253 -0.659 1.585 7.069" Properties=species:S:1:pos:R:3 pbc="T T T"
Se -7.972 1.059 7.897
B -6.833 1.233 6.304
Bi -5.460 0.929 2.879
Se -5.894 4.208 7.352
B -6.168 2.746 6.002
Se -6.658 -0.296 5.094
Bi -3.773 1.398 5.553
Se -5.881 3.330 4.126
```

## Properties
The crystal system is triclinic. The raw formation energy is -0.06 eV/atom. The value obtained for the raw total energy is -4.443 eV per atom. As for the energy above the most stable polymorph in this dataset: 1.23 kcal/mol of atoms.

***

(11)
Entry from Alexandria via LeMat-Bulk: an optimized crystal structure of BiBSe2 (GGA-PBE).

```
16
Lattice="7.562 0.000 0.000 0.000 7.368 0.000 -0.381 0.000 7.772" Properties=species:S:1:pos:R:3 pbc="T T T"
Bi 4.759 0.000 1.420
Bi 0.622 3.684 2.280
Se 2.509 5.758 4.904
Bi 4.568 3.684 5.305
Se 6.597 5.297 0.470
Bi 0.432 0.000 6.166
B 5.167 0.000 3.944
Se 2.700 2.075 1.018
Se 2.509 1.609 4.904
B 5.357 3.684 0.058
Se 6.597 2.070 0.470
Se 6.407 5.754 4.356
B 3.600 0.000 4.536
Se 6.407 1.614 4.356
Se 2.700 5.293 1.018
B 3.790 3.684 0.650
```

## Properties
The crystal system is monoclinic. The raw formation energy is -0.08 eV/atom. The value obtained for the raw total energy is -4.460 eV per atom. As for the energy above the most stable polymorph in this dataset: 0.83 kcal/mol of atoms.

***

(12)
Entry from Alexandria via LeMat-Bulk: an optimized crystal structure of BiBSe2 (GGA-PBE).

```
16
Lattice="8.097 0.000 0.000 0.000 7.264 0.000 -3.854 0.000 7.709" Properties=species:S:1:pos:R:3 pbc="T T T"
B 2.274 3.632 7.328
Se 3.452 5.290 7.335
Se -0.410 5.313 6.906
Bi 2.134 0.000 5.561
Bi -0.588 0.000 2.191
Se -0.410 1.951 6.906
Bi -2.515 3.632 6.046
B 4.201 0.000 3.474
B 0.704 3.632 6.925
Bi 4.061 3.632 1.707
Se 1.517 1.681 3.052
Se 1.517 5.583 3.052
Se 3.452 1.974 7.335
Se 5.379 5.606 3.481
B 2.631 0.000 3.071
Se 5.379 1.658 3.481
```

## Properties
The crystal system is monoclinic. The raw formation energy is -0.07 eV/atom. The value obtained for the raw total energy is -4.449 eV per atom. As for the energy above the most stable polymorph in this dataset: 1.10 kcal/mol of atoms.

***

Question: The highest raw total energy belongs to which entry?
Answer: number 8

***

Question: Which formula does entry 2 have?
Answer: Y2ScBiB

***

Question: raw total energy of number 7 (BiBSe2)?
Answer: -4.026 eV per atom

***

Question: The highest raw total energy belongs to which entry?
Answer: number 8